[1]
Computed, not measured: crystalline NaPbOF at its relaxed geometry at the GGA-PBE level of DFT.

Summary:
* formation energy from raw total energies: -7.1 eV per formula unit
* space group: R3m, No. 160

Lattice parameters (Å, degrees): 6.434 6.434 6.434 32.18 32.18 32.18
Atoms (fractional coordinates):
Na: 0.000 0.000 0.000
Pb: 0.507 0.507 0.507
O: 0.240 0.240 0.240
F: 0.726 0.726 0.726



[2]
Computed, not measured: crystalline SrLaGa2 at its relaxed geometry at the GGA-PBE level of DFT.

Summary:
* space group: Imm2, No. 44
* formation enthalpy at 0 K: -1.8 eV per formula unit

Lattice parameters (Å, degrees): 9.415 9.415 9.415 152.74 47.52 141.85
Atoms (fractional coordinates):
Sr: 0.217 0.000 0.217
Sr: 0.783 0.000 0.783
La: 0.305 0.805 0.500
La: 0.867 0.867 0.000
Ga: 0.347 0.473 0.874
Ga: 0.599 0.473 0.126
Ga: 0.613 0.220 0.393
Ga: 0.827 0.220 0.607



[3]
Computed, not measured: crystalline Ta2VRe3 at its relaxed geometry at the GGA-PBE level of DFT.

Summary:
* space group: P4/mmm, No. 123
* formation enthalpy at 0 K: -2.2 eV per formula unit

Lattice parameters (Å, degrees): 3.155 3.155 9.456 90.00 90.00 90.00
Atoms (fractional coordinates):
Ta: 0.000 0.000 0.171
Ta: 0.000 0.000 0.829
V: 0.000 0.000 0.500
Re: 0.500 0.500 0.000
Re: 0.500 0.500 0.343
Re: 0.500 0.500 0.657



[4]
Computed, not measured: crystalline Tb2PmDy2Er at its relaxed geometry at the GGA-PBE level of DFT.

Summary:
* space group: Pnnm, No. 58
* formation enthalpy at 0 K: 0.9 eV per formula unit

Lattice parameters (Å, degrees): 6.928 16.189 3.496 90.00 90.00 90.00
Atoms (fractional coordinates):
Tb: 0.250 0.157 0.000
Tb: 0.250 0.657 0.500
Tb: 0.750 0.343 0.500
Tb: 0.750 0.843 0.000
Pm: 0.000 0.000 0.500
Pm: 0.500 0.500 0.000
Dy: 0.249 0.344 0.500
Dy: 0.251 0.844 0.000
Dy: 0.749 0.156 0.000
Dy: 0.751 0.656 0.500
Er: 0.000 0.500 0.000
Er: 0.500 0.000 0.500



[5]
Computed, not measured: crystalline Ca2PtSe2 at its relaxed geometry at the GGA-PBE level of DFT.

Summary:
* excess energy over the best structure of this formula in the dataset: 0.0 meV/atom
* formation energy from raw total energies: -4.4 eV per formula unit
* space group: P4/mbm, No. 127

Lattice parameters (Å, degrees): 7.956 7.956 3.748 90.00 90.00 90.00
Atoms (fractional coordinates):
Ca: 0.150 0.350 0.000
Ca: 0.350 0.850 0.000
Ca: 0.650 0.150 0.000
Ca: 0.850 0.650 0.000
Pt: 0.000 0.000 0.000
Pt: 0.500 0.500 0.000
Se: 0.161 0.661 0.500
Se: 0.339 0.161 0.500
Se: 0.661 0.839 0.500
Se: 0.839 0.339 0.500



[6]
Computed, not measured: crystalline Ta6Fe5Ru at its relaxed geometry at the GGA-PBE level of DFT.

Summary:
* space group: Cmmm, No. 65
* formation enthalpy at 0 K: -2.2 eV per formula unit

Lattice parameters (Å, degrees): 6.903 6.903 6.185 90.00 90.00 143.12
Atoms (fractional coordinates):
Ta: 0.000 0.000 0.244
Ta: 0.000 0.000 0.756
Ta: 0.330 0.670 0.248
Ta: 0.330 0.670 0.752
Ta: 0.670 0.330 0.248
Ta: 0.670 0.330 0.752
Fe: 0.166 0.834 0.000
Fe: 0.166 0.834 0.500
Fe: 0.500 0.500 0.000
Fe: 0.834 0.166 0.000
Fe: 0.834 0.166 0.500
Ru: 0.500 0.500 0.500



[7]
Computed, not measured: crystalline CaLa5Ag6 at its relaxed geometry at the GGA-PBE level of DFT.

Summary:
* space group: Cmmm, No. 65
* formation enthalpy at 0 K: -3.3 eV per formula unit

Lattice parameters (Å, degrees): 8.535 8.535 7.570 90.00 90.00 143.10
Atoms (fractional coordinates):
Ca: 0.000 0.000 0.000
La: 0.000 0.000 0.500
La: 0.332 0.668 0.500
La: 0.336 0.664 0.000
La: 0.664 0.336 0.000
La: 0.668 0.332 0.500
Ag: 0.166 0.834 0.246
Ag: 0.166 0.834 0.754
Ag: 0.500 0.500 0.252
Ag: 0.500 0.500 0.748
Ag: 0.834 0.166 0.246
Ag: 0.834 0.166 0.754



[8]
Computed, not measured: crystalline BaHgF5 at its relaxed geometry at the GGA-PBE level of DFT.

Summary:
* formation energy from raw total energies: -16.0 eV per formula unit
* space group: C2/c, No. 15

Lattice parameters (Å, degrees): 5.391 5.391 9.383 104.18 104.18 71.39
Atoms (fractional coordinates):
Ba: 0.006 0.994 0.750
Ba: 0.994 0.006 0.250
Hg: 0.500 0.500 0.000
Hg: 0.500 0.500 0.500
F: 0.080 0.711 0.474
F: 0.128 0.470 0.865
F: 0.289 0.920 0.026
F: 0.415 0.585 0.250
F: 0.470 0.128 0.365
F: 0.530 0.872 0.635
F: 0.585 0.415 0.750
F: 0.711 0.080 0.974
F: 0.872 0.530 0.135
F: 0.920 0.289 0.526



Number 1: magnetization 0.00 μB/cell. Number 2: magnetization 0.00 μB/cell. Number 3: magnetization 0.00 μB/cell. Number 4: magnetization 0.01 μB/cell. Number 5: magnetization 0.00 μB/cell. Number 6: magnetization 5.07 μB/cell. Number 7: magnetization 0.00 μB/cell. Number 8: magnetization 2.04 μB/cell.